Record 1
Computed, not measured: a relaxed structure of Mg2Tl12Pb5 at the PBE-GGA level of DFT.

Properties
- V (Å³ per cell) = 590.8
- ΔH_f (0 K) (eV per atom) = 0.056
- theoretical density (g cm⁻³) = 9.9

Cell lengths 6.789, 9.617, 9.998 Å; angles 76.27, 90.00, 110.67 degrees
Positions (direct):
Tl  0.083  0.687  0.896
Tl  0.917  0.313  0.104
Tl  0.396  0.313  0.104
Tl  0.489  0.979  0.678
Tl  0.587  0.678  0.517
Tl  0.604  0.687  0.896
Tl  0.091  0.678  0.517
Tl  0.034  0.069  0.781
Tl  0.511  0.021  0.322
Tl  0.413  0.322  0.483
Tl  0.909  0.322  0.483
Tl  0.966  0.931  0.219
Pb  0.000  0.000  0.500
Pb  0.653  0.306  0.798
Pb  0.213  0.427  0.777
Pb  0.787  0.573  0.223
Pb  0.347  0.694  0.202
Mg  0.710  0.000  0.000
Mg  0.290  0.000  0.000

=====

Record 2
Computed, not measured: a relaxed structure of KTe2Au at the PBE-GGA level of DFT.

Properties
- V (Å³ per cell) = 111.5
- ΔE_f (raw) (meV per atom) = -135
- theoretical density (g cm⁻³) = 7.3

Cell lengths 8.930, 5.955, 3.145 Å; angles 90.12, 69.21, 131.00 degrees
Positions (direct):
Au  0.000  0.500  0.500
K  0.500  0.500  0.000
Te  0.000  0.000  0.000
Te  0.500  0.000  0.500